# 1
The following is a PBE calculation of an optimized crystal structure of NaCd2In6, from Alexandria.

Properties
DOS(E_F): 3.869 states/eV per cell
ΔE_f: -10.0 meV/atom
Total magnetic moment: 0.00 Bohr magnetons per cell

a = 8.8747 Å, b = 8.8747 Å, c = 3.2898 Å
α = 99.16°, β = 99.16°, γ = 69.10°
Atoms (fractional coordinates):
Na (0.0000, 0.0000, 0.0000)
Cd (0.3715, 0.3715, 0.9015)
Cd (0.6285, 0.6285, 0.0985)
In (0.0297, 0.3403, 0.6936)
In (0.3031, 0.6969, 0.5000)
In (0.3403, 0.0297, 0.6936)
In (0.6597, 0.9703, 0.3064)
In (0.6969, 0.3031, 0.5000)
In (0.9703, 0.6597, 0.3064)

# 2
The following is a PBE calculation of an optimized crystal structure of NaCd4In7, from Alexandria.

Properties
DOS(E_F): 3.230 states/eV per cell
ΔE_f: 6.2 meV/atom
Total magnetic moment: 0.00 Bohr magnetons per cell

a = 5.3417 Å, b = 5.3417 Å, c = 12.6819 Å
α = 90.00°, β = 90.00°, γ = 120.00°
Atoms (fractional coordinates):
Na (0.0000, 0.0000, 0.0000)
Cd (0.3333, 0.6667, 0.1264)
Cd (0.3333, 0.6667, 0.3676)
Cd (0.6667, 0.3333, 0.6324)
Cd (0.6667, 0.3333, 0.8736)
In (0.0000, 0.0000, 0.2508)
In (0.0000, 0.0000, 0.5000)
In (0.0000, 0.0000, 0.7492)
In (0.3333, 0.6667, 0.6081)
In (0.3333, 0.6667, 0.8704)
In (0.6667, 0.3333, 0.1296)
In (0.6667, 0.3333, 0.3919)

# 3
The following is a PBE calculation of an optimized crystal structure of Na2CdIn, from Alexandria.

Properties
DOS(E_F): 3.757 states/eV per cell
ΔE_f: -88.2 meV/atom
Total magnetic moment: 0.00 Bohr magnetons per cell

a = 6.2921 Å, b = 6.2921 Å, c = 5.8479 Å
α = 90.00°, β = 90.00°, γ = 76.63°
Atoms (fractional coordinates):
Na (0.0207, 0.3568, 0.2500)
Na (0.3568, 0.0207, 0.7500)
Na (0.6432, 0.9793, 0.2500)
Na (0.9793, 0.6432, 0.7500)
Cd (0.5000, 0.5000, 0.0000)
Cd (0.5000, 0.5000, 0.5000)
In (0.1609, 0.8391, 0.2500)
In (0.8391, 0.1609, 0.7500)

# 4
The following is a PBE calculation of an optimized crystal structure of NaCd4In15, from Alexandria.

Properties
DOS(E_F): 8.344 states/eV per cell
ΔE_f: 0.3 meV/atom
Total magnetic moment: 0.00 Bohr magnetons per cell

a = 4.7229 Å, b = 4.7229 Å, c = 23.4222 Å
α = 90.00°, β = 90.00°, γ = 90.00°
Atoms (fractional coordinates):
Na (0.0000, 0.0000, 0.0000)
Cd (0.0000, 0.0000, 0.1965)
Cd (0.0000, 0.0000, 0.3994)
Cd (0.0000, 0.0000, 0.6006)
Cd (0.0000, 0.0000, 0.8035)
In (0.0000, 0.5000, 0.1003)
In (0.0000, 0.5000, 0.2985)
In (0.0000, 0.5000, 0.5000)
In (0.0000, 0.5000, 0.7015)
In (0.0000, 0.5000, 0.8997)
In (0.5000, 0.0000, 0.1003)
In (0.5000, 0.0000, 0.2985)
In (0.5000, 0.0000, 0.5000)
In (0.5000, 0.0000, 0.7015)
In (0.5000, 0.0000, 0.8997)
In (0.5000, 0.5000, 0.0000)
In (0.5000, 0.5000, 0.2000)
In (0.5000, 0.5000, 0.4003)
In (0.5000, 0.5000, 0.5997)
In (0.5000, 0.5000, 0.8000)

# 5
The following is a PBE calculation of an optimized crystal structure of Na12Cd6In, from Alexandria.

Properties
DOS(E_F): 7.185 states/eV per cell
ΔE_f: -66.9 meV/atom
Total magnetic moment: 0.00 Bohr magnetons per cell

a = 8.1884 Å, b = 8.1884 Å, c = 8.1884 Å
α = 88.03°, β = 88.03°, γ = 88.03°
Atoms (fractional coordinates):
Na (0.0254, 0.3064, 0.9283)
Na (0.0717, 0.9746, 0.6936)
Na (0.1228, 0.3481, 0.4719)
Na (0.3064, 0.9283, 0.0254)
Na (0.3481, 0.4719, 0.1228)
Na (0.4719, 0.1228, 0.3481)
Na (0.5281, 0.8772, 0.6519)
Na (0.6519, 0.5281, 0.8772)
Na (0.6936, 0.0717, 0.9746)
Na (0.8772, 0.6519, 0.5281)
Na (0.9283, 0.0254, 0.3064)
Na (0.9746, 0.6936, 0.0717)
Cd (0.2342, 0.6093, 0.7565)
Cd (0.2435, 0.7658, 0.3907)
Cd (0.3907, 0.2435, 0.7658)
Cd (0.6093, 0.7565, 0.2342)
Cd (0.7565, 0.2342, 0.6093)
Cd (0.7658, 0.3907, 0.2435)
In (0.5000, 0.5000, 0.5000)

# 6
The following is a PBE calculation of an optimized crystal structure of Na5Cd6In, from Alexandria.

Properties
DOS(E_F): 3.242 states/eV per cell
ΔE_f: -77.0 meV/atom
Total magnetic moment: 0.00 Bohr magnetons per cell

a = 4.6003 Å, b = 8.7441 Å, c = 8.7621 Å
α = 106.35°, β = 105.18°, γ = 105.18°
Atoms (fractional coordinates):
Na (0.0000, 0.0000, 0.0000)
Na (0.0007, 0.3336, 0.6661)
Na (0.4996, 0.1642, 0.8359)
Na (0.5004, 0.8358, 0.1641)
Na (0.9993, 0.6664, 0.3339)
Cd (0.2447, 0.7442, 0.7442)
Cd (0.2502, 0.4179, 0.0866)
Cd (0.2534, 0.0862, 0.4169)
Cd (0.7466, 0.9138, 0.5831)
Cd (0.7498, 0.5821, 0.9134)
Cd (0.7553, 0.2558, 0.2558)
In (0.5000, 0.5000, 0.5000)

# 7
The following is a PBE calculation of an optimized crystal structure of NaCd2In3, from Alexandria.

Properties
DOS(E_F): 4.038 states/eV per cell
ΔE_f: -41.9 meV/atom
Total magnetic moment: 0.00 Bohr magnetons per cell

a = 8.9563 Å, b = 8.9563 Å, c = 8.9563 Å
α = 148.88°, β = 118.69°, γ = 70.36°
Atoms (fractional coordinates):
Na (0.1270, 0.1270, 0.0000)
Na (0.8730, 0.8730, 0.0000)
Cd (0.1534, 0.5000, 0.6534)
Cd (0.3026, 0.8026, 0.5000)
Cd (0.6974, 0.1974, 0.5000)
Cd (0.8466, 0.5000, 0.3466)
In (0.1130, 0.3198, 0.7932)
In (0.3397, 0.0000, 0.3397)
In (0.4734, 0.6802, 0.7932)
In (0.5266, 0.3198, 0.2068)
In (0.6603, 0.0000, 0.6603)
In (0.8870, 0.6802, 0.2068)

# 8
The following is a PBE calculation of an optimized crystal structure of Na3Cd5In2, from Alexandria.

Properties
DOS(E_F): 6.630 states/eV per cell
ΔE_f: -36.2 meV/atom
Total magnetic moment: 0.00 Bohr magnetons per cell

a = 10.3054 Å, b = 10.3054 Å, c = 10.3054 Å
α = 112.30°, β = 76.99°, γ = 147.74°
Atoms (fractional coordinates):
Na (0.1704, 0.7285, 0.8990)
Na (0.2500, 0.2500, 0.0000)
Na (0.3296, 0.2285, 0.5581)
Na (0.6704, 0.7715, 0.4419)
Na (0.7500, 0.7500, 0.0000)
Na (0.8296, 0.2715, 0.1010)
Cd (0.0658, 0.2500, 0.8158)
Cd (0.1618, 0.4368, 0.5987)
Cd (0.2500, 0.7500, 0.5000)
Cd (0.3382, 0.9368, 0.2750)
Cd (0.4342, 0.2500, 0.1842)
Cd (0.5658, 0.7500, 0.8158)
Cd (0.6619, 0.0632, 0.7250)
Cd (0.7500, 0.2500, 0.5000)
Cd (0.8382, 0.5632, 0.4013)
Cd (0.9342, 0.7500, 0.1842)
In (0.0533, 0.2353, 0.2886)
In (0.4467, 0.7353, 0.1820)
In (0.5533, 0.2647, 0.8180)
In (0.9467, 0.7647, 0.7114)

# 9
The following is a PBE calculation of an optimized crystal structure of Na2CdIn12, from Alexandria.

Properties
DOS(E_F): 12.066 states/eV per cell
ΔE_f: -5.1 meV/atom
Total magnetic moment: 0.00 Bohr magnetons per cell

a = 7.0257 Å, b = 7.0257 Å, c = 17.7626 Å
α = 90.00°, β = 90.00°, γ = 90.00°
Atoms (fractional coordinates):
Na (0.2500, 0.7500, 0.2435)
Na (0.2500, 0.7500, 0.7565)
Na (0.7500, 0.2500, 0.2435)
Na (0.7500, 0.2500, 0.7565)
Cd (0.2500, 0.7500, 0.5000)
Cd (0.7500, 0.2500, 0.5000)
In (0.0001, 0.9999, 0.4065)
In (0.9999, 0.0001, 0.5935)
In (0.9999, 0.4999, 0.4065)
In (0.0001, 0.5001, 0.5935)
In (0.0888, 0.5888, 0.0684)
In (0.0888, 0.9112, 0.9316)
In (0.2500, 0.2500, 0.1511)
In (0.2500, 0.2500, 0.3113)
In (0.2500, 0.2500, 0.6887)
In (0.2500, 0.2500, 0.8489)
In (0.4112, 0.5888, 0.9316)
In (0.4112, 0.9112, 0.0684)
In (0.5001, 0.0001, 0.4065)
In (0.4999, 0.9999, 0.5935)
In (0.4999, 0.5001, 0.4065)
In (0.5001, 0.4999, 0.5935)
In (0.5888, 0.0888, 0.9316)
In (0.5888, 0.4112, 0.0684)
In (0.7500, 0.7500, 0.1511)
In (0.7500, 0.7500, 0.3113)
In (0.7500, 0.7500, 0.6887)
In (0.7500, 0.7500, 0.8489)
In (0.9112, 0.0888, 0.0684)
In (0.9112, 0.4112, 0.9316)

# 10
The following is a PBE calculation of an optimized crystal structure of NaCd3In, from Alexandria.

Properties
DOS(E_F): 3.353 states/eV per cell
ΔE_f: 435.4 meV/atom
Total magnetic moment: 0.00 Bohr magnetons per cell

a = 5.4838 Å, b = 5.4838 Å, c = 5.4838 Å
α = 90.00°, β = 90.00°, γ = 90.00°
Atoms (fractional coordinates):
Na (0.0000, 0.0000, 0.0000)
Cd (0.0000, 0.0000, 0.5000)
Cd (0.0000, 0.5000, 0.0000)
Cd (0.5000, 0.0000, 0.0000)
In (0.5000, 0.5000, 0.5000)

# 11
The following is a PBE calculation of an optimized crystal structure of Na2CdIn8, from Alexandria.

Properties
DOS(E_F): 5.005 states/eV per cell
ΔE_f: -46.5 meV/atom
Total magnetic moment: 0.00 Bohr magnetons per cell

a = 8.7643 Å, b = 8.7643 Å, c = 7.6544 Å
α = 105.45°, β = 105.45°, γ = 31.01°
Atoms (fractional coordinates):
Na (0.2278, 0.2278, 0.1403)
Na (0.7722, 0.7722, 0.8597)
Cd (0.5000, 0.5000, 0.5000)
In (0.0473, 0.0473, 0.2286)
In (0.1299, 0.1299, 0.6792)
In (0.3199, 0.3199, 0.5899)
In (0.4121, 0.4121, 0.0484)
In (0.5879, 0.5879, 0.9516)
In (0.6801, 0.6801, 0.4101)
In (0.8701, 0.8701, 0.3208)
In (0.9527, 0.9527, 0.7714)

# 12
The following is a PBE calculation of an optimized crystal structure of Na2CdIn3, from Alexandria.

Properties
DOS(E_F): 3.009 states/eV per cell
ΔE_f: -116.6 meV/atom
Total magnetic moment: 0.00 Bohr magnetons per cell

a = 3.4660 Å, b = 5.1633 Å, c = 8.8007 Å
α = 90.00°, β = 90.00°, γ = 90.00°
Atoms (fractional coordinates):
Na (0.0000, 0.0000, 0.0000)
Na (0.0000, 0.5000, 0.4936)
Cd (0.5000, 0.0000, 0.3283)
In (0.5000, 0.0000, 0.6610)
In (0.5000, 0.5000, 0.1662)
In (0.5000, 0.5000, 0.8305)